The following is a GGA-PBE calculation of a relaxed structure of Dy2Al3Cu4, from the Alexandria database.

It has space group Cmce (No. 64), with a = 5.5101 Å, b = 15.3134 Å, c = 7.2975 Å, α = 90.00°, β = 90.00° and γ = 90.00°. The distinct sites, in fractional coordinates, are Dy at (0.0000, 0.1028, 0.0969), Al at (0.0000, 0.0000, 0.5000), Al at (0.2500, 0.2335, 0.7500), Cu at (0.0000, 0.1725, 0.4869) and Cu at (0.2500, 0.0679, 0.7500).

Its energy of formation is -0.34 eV/atom. As for the crystal system: orthorhombic. The calculation puts the total energy at -4.435 eV per atom. As for the total magnetization: 0.0 μB per formula unit.